Record 1
TaCr2Cu | GGA-PBE | relaxed

The calculation puts the formation energy at 307 meV per atom. The total magnetization is 0.002 μB per cell. The value obtained for the uncorrected energy is -67.93 eV per cell.

The structure belongs to space group C2/m (No. 12); the cell edges are 5.174, 8.672 and 2.582 Å and the angles 90.00°, 110.82° and 90.00°. The asymmetric unit holds Ta at (0.000, 0.000, 0.000), Cr at (0.250, 0.250, 0.500) and Cu at (0.000, 0.500, 0.000).

Record 2
Ta2Cr2Cu | GGA-PBE | relaxed

The calculation puts the formation energy at 942 meV per atom. The total magnetization is 6.693 μB per cell. The value obtained for the uncorrected energy is -84.68 eV per cell.

The structure belongs to space group I4/mmm (No. 139); the cell edges are 3.967, 3.967 and 10.959 Å and the angles 90.00°, 90.00° and 90.00°. The asymmetric unit holds Ta at (0.000, 0.500, 0.250), Cr at (0.000, 0.000, 0.098) and Cu at (0.000, 0.000, 0.500).

Record 3
TaCrCu3 | GGA-PBE | relaxed

The calculation puts the formation energy at 1406 meV per atom. The total magnetization is 0.000 μB per cell. The value obtained for the uncorrected energy is -26.74 eV per cell.

The structure belongs to space group Pm-3m (No. 221); the cell edges are 4.298, 4.298 and 4.298 Å and the angles 90.00°, 90.00° and 90.00°. The asymmetric unit holds Ta at (0.000, 0.000, 0.000), Cr at (0.500, 0.500, 0.500) and Cu at (0.000, 0.500, 0.500).

D(E_F) / states/eV/cell: 9.4; 10.2; 7.2